First-principles (PBE) data for SrIn3Bi3 after structural relaxation, as listed in the Alexandria database.

Summary:
magnetic moment = 0.00 μB per formula unit
density of states at the Fermi level = 5.3 states/eV per cell
energy of formation = -18.82 kJ per mole of atoms
energy relative to the lowest polymorph listed for this composition = 0.000 eV per atom

Cell: 5.8506 9.4497 9.4869 Å, 120.12 90.00 90.00°
Closest atoms and distances in Å follow each position.
Fractional positions:
Sr (0.2500, 0.6498, 0.2713)  8 Bi 3.50-3.75, 2 In 3.58-3.63
Sr (0.7500, 0.3502, 0.7287)  8 Bi 3.50-3.75, 2 In 3.58-3.63
In (0.2500, 0.0027, 0.1195)  6 In 3.18-3.50, 2 Bi 3.26-3.37
In (0.2500, 0.8119, 0.7086)  4 Bi 3.11-3.38, 4 In 3.38-3.42
In (0.2500, 0.2280, 0.9583)  3 Bi 3.15-3.30, 4 In 3.18-3.50
In (0.7500, 0.9973, 0.8805)  6 In 3.18-3.50, 2 Bi 3.26-3.37
In (0.7500, 0.1881, 0.2914)  4 Bi 3.11-3.38, 4 In 3.38-3.42
In (0.7500, 0.7720, 0.0417)  3 Bi 3.15-3.30, 4 In 3.18-3.50
Bi (0.2500, 0.6070, 0.8828)  4 In 3.11-3.30, 1 Bi 3.32
Bi (0.2500, 0.0770, 0.5778)  2 In 3.15-3.31, 3 Bi 3.16-3.27
Bi (0.2500, 0.3532, 0.4827)  2 Bi 3.16-3.32, 3 In 3.37-3.38
Bi (0.7500, 0.3930, 0.1172)  4 In 3.11-3.30, 1 Bi 3.32
Bi (0.7500, 0.9230, 0.4222)  2 In 3.15-3.31, 3 Bi 3.16-3.27
Bi (0.7500, 0.6468, 0.5173)  2 Bi 3.16-3.32, 3 In 3.37-3.38

---

First-principles (PBE) data for Sr3In2Bi3 after structural relaxation, as listed in the Alexandria database.

Summary:
magnetic moment = 0.00 μB per formula unit
density of states at the Fermi level = 4.2 states/eV per cell
energy of formation = -53.89 kJ per mole of atoms
energy relative to the lowest polymorph listed for this composition = 0.000 eV per atom

Cell: 4.9170 6.9958 17.3783 Å, 90.00 90.00 110.57°
Closest atoms and distances in Å follow each position.
Fractional positions:
Sr (0.9545, 0.9090, 0.3858)  6 Bi 3.45-3.64, 3 In 3.63-3.82
Sr (0.0455, 0.0910, 0.8858)  6 Bi 3.45-3.64, 3 In 3.63-3.82
Sr (0.9545, 0.9090, 0.1142)  6 Bi 3.45-3.64, 3 In 3.63-3.82
Sr (0.0455, 0.0910, 0.6142)  6 Bi 3.45-3.64, 3 In 3.63-3.82
Sr (0.6793, 0.3586, 0.2500)  4 In 3.48, 1 Bi 3.50
Sr (0.3207, 0.6414, 0.7500)  4 In 3.48, 1 Bi 3.50
In (0.7685, 0.5369, 0.8864)  4 Bi 3.16-3.35, 2 Sr 3.48
In (0.2315, 0.4631, 0.3864)  4 Bi 3.16-3.35, 2 Sr 3.48
In (0.7685, 0.5369, 0.6136)  4 Bi 3.16-3.35, 2 Sr 3.48
In (0.2315, 0.4631, 0.1136)  4 Bi 3.16-3.35, 2 Sr 3.48
Bi (0.6199, 0.2399, 0.4701)  3 In 3.16-3.21, 1 Bi 3.31
Bi (0.3801, 0.7601, 0.9701)  3 In 3.16-3.21, 1 Bi 3.31
Bi (0.6199, 0.2399, 0.0299)  3 In 3.16-3.21, 1 Bi 3.31
Bi (0.3801, 0.7601, 0.5299)  3 In 3.16-3.21, 1 Bi 3.31
Bi (0.4123, 0.8246, 0.2500)  2 In 3.35, 5 Sr 3.45-3.50
Bi (0.5877, 0.1754, 0.7500)  2 In 3.35, 5 Sr 3.45-3.50

---

First-principles (PBE) data for SrIn7Bi4 after structural relaxation, as listed in the Alexandria database.

Summary:
magnetic moment = 0.00 μB per formula unit
density of states at the Fermi level = 4.5 states/eV per cell
energy of formation = -7.09 kJ per mole of atoms

Cell: 7.5786 11.6035 6.3030 Å, 107.98 104.08 46.74°
Closest atoms and distances in Å follow each position.
Fractional positions:
Sr (0.0000, 0.0000, 0.0000)  4 Bi 3.49-3.69, 8 In 3.54-3.79
In (0.7692, 0.8421, 0.5533)  4 In 3.05-3.20, 1 Bi 3.16
In (0.2308, 0.1579, 0.4467)  4 In 3.05-3.20, 1 Bi 3.16
In (0.0535, 0.7048, 0.1431)  3 In 3.05-3.24, 2 Bi 3.13-3.42
In (0.9465, 0.2952, 0.8569)  3 In 3.05-3.24, 2 Bi 3.13-3.42
In (0.3080, 0.5815, 0.6864)  3 In 3.08-3.26, 2 Bi 3.17-3.23
In (0.5000, 0.0000, 0.0000)  4 In 3.15-3.24, 2 Bi 3.26
In (0.6920, 0.4185, 0.3136)  3 In 3.08-3.26, 2 Bi 3.17-3.23
Bi (0.6089, 0.2045, 0.5304)  4 In 3.16-3.53, 1 Bi 3.22
Bi (0.3911, 0.7955, 0.4696)  4 In 3.16-3.53, 1 Bi 3.22
Bi (0.6224, 0.6703, 0.9979)  4 In 3.13-3.43, 1 Bi 3.22, 1 Sr 3.49
Bi (0.3776, 0.3297, 0.0021)  4 In 3.13-3.43, 1 Bi 3.22, 1 Sr 3.49

---

First-principles (PBE) data for Sr3InBi3 after structural relaxation, as listed in the Alexandria database.

Summary:
magnetic moment = 0.00 μB per formula unit
density of states at the Fermi level = 0.4 states/eV per cell
energy of formation = -61.30 kJ per mole of atoms
energy relative to the lowest polymorph listed for this composition = 0.059 eV per atom

Cell: 6.9152 10.0211 10.0211 Å, 120.00 90.00 90.00°
Closest atoms and distances in Å follow each position.
Fractional positions:
Sr (0.7500, 0.6896, 0.6355)  5 Bi 3.36-3.46, 1 In 3.74
Sr (0.7500, 0.3645, 0.0541)  5 Bi 3.36-3.46, 1 In 3.74
Sr (0.7500, 0.9459, 0.3104)  5 Bi 3.36-3.46, 1 In 3.74
Sr (0.2500, 0.3104, 0.3645)  5 Bi 3.36-3.46, 1 In 3.74
Sr (0.2500, 0.6355, 0.9459)  5 Bi 3.36-3.46, 1 In 3.74
Sr (0.2500, 0.0541, 0.6896)  5 Bi 3.36-3.46, 1 In 3.74
In (0.2500, 0.6667, 0.3333)  3 Bi 2.91
In (0.7500, 0.3333, 0.6667)  3 Bi 2.91
Bi (0.2500, 0.6960, 0.6369)  1 In 2.91
Bi (0.2500, 0.3631, 0.0592)  1 In 2.91
Bi (0.2500, 0.9408, 0.3040)  1 In 2.91
Bi (0.7500, 0.3040, 0.3631)  1 In 2.91
Bi (0.7500, 0.6369, 0.9408)  1 In 2.91
Bi (0.7500, 0.0592, 0.6960)  1 In 2.91

---

First-principles (PBE) data for Sr2InBiTe5 after structural relaxation, as listed in the Alexandria database.

Summary:
magnetic moment = 0.00 μB per formula unit
E_form (uncorrected) = -0.91 eV/atom

Cell: 4.5291 10.3791 13.9310 Å, 90.00 90.00 102.60°
Closest atoms and distances in Å follow each position.
Fractional positions:
Sr (0.8735, 0.7470, 0.8134)  8 Te 3.42-3.81
Sr (0.1117, 0.2234, 0.6788)  8 Te 3.40-3.76
Sr (0.1265, 0.2530, 0.3134)  8 Te 3.42-3.81
Sr (0.8883, 0.7766, 0.1788)  8 Te 3.40-3.76
In (0.5624, 0.1249, 0.9421)  4 Te 2.78-2.88
In (0.4376, 0.8751, 0.4421)  4 Te 2.78-2.88
Bi (0.7853, 0.5705, 0.5229)  5 Te 3.00-3.25
Bi (0.2147, 0.4295, 0.0229)  5 Te 3.00-3.25
Te (0.3618, 0.7236, 0.9991)  1 Bi 3.00
Te (0.6927, 0.3855, 0.8588)  1 In 2.88
Te (0.4961, 0.9921, 0.7676)  1 In 2.78
Te (0.2796, 0.5592, 0.6771)  2 Bi 3.12, 1 Sr 3.40
Te (0.9514, 0.9029, 0.5642)  2 In 2.85
Te (0.6382, 0.2764, 0.4991)  1 Bi 3.00
Te (0.3073, 0.6145, 0.3588)  1 In 2.88
Te (0.5039, 0.0079, 0.2676)  1 In 2.78
Te (0.7204, 0.4408, 0.1771)  2 Bi 3.12, 1 Sr 3.40
Te (0.0486, 0.0971, 0.0642)  2 In 2.85

---

First-principles (PBE) data for SrTl2In2Bi2 after structural relaxation, as listed in the Alexandria database.

Summary:
magnetic moment = 0.00 μB per formula unit
density of states at the Fermi level = 3.1 states/eV per cell
energy of formation = -16.99 kJ per mole of atoms

Cell: 5.6398 5.6398 8.8387 Å, 71.40 71.40 60.00°
Closest atoms and distances in Å follow each position.
Fractional positions:
Sr (0.0000, 0.0000, 0.0000)  2 Tl 3.42, 6 Bi 3.62
Tl (0.1387, 0.1387, 0.5839)  1 Bi 3.22, 1 Sr 3.42, 3 In 3.46, 3 Tl 3.54
Tl (0.8613, 0.8613, 0.4161)  1 Bi 3.22, 1 Sr 3.42, 3 In 3.46, 3 Tl 3.54
In (0.5759, 0.5759, 0.2722)  3 Bi 3.32, 3 Tl 3.46
In (0.4241, 0.4241, 0.7278)  3 Bi 3.32, 3 Tl 3.46
Bi (0.7309, 0.7309, 0.8074)  1 Tl 3.22, 3 In 3.32
Bi (0.2691, 0.2691, 0.1926)  1 Tl 3.22, 3 In 3.32

---

First-principles (PBE) data for SrTl2InBi2 after structural relaxation, as listed in the Alexandria database.

Summary:
magnetic moment = 0.00 μB per formula unit
density of states at the Fermi level = 5.3 states/eV per cell
energy of formation = -27.75 kJ per mole of atoms

Cell: 4.9835 7.9820 10.4394 Å, 90.00 90.00 90.00°
Closest atoms and distances in Å follow each position.
Fractional positions:
Sr (0.0000, 0.9852, 0.4285)  5 Bi 3.42-3.53, 2 In 3.80
Sr (0.0000, 0.4852, 0.5715)  5 Bi 3.42-3.53, 2 In 3.80
Tl (0.5000, 0.0508, 0.0572)  4 Tl 3.55-3.83, 5 Bi 3.63-3.94
Tl (0.0000, 0.3329, 0.1667)  4 Bi 3.29-3.47, 2 Tl 3.55
Tl (0.5000, 0.5508, 0.9428)  4 Tl 3.55-3.83, 5 Bi 3.63-3.94
Tl (0.0000, 0.8329, 0.8333)  4 Bi 3.29-3.47, 2 Tl 3.55
In (0.5000, 0.1569, 0.6833)  4 Bi 3.10-3.17
In (0.5000, 0.6569, 0.3167)  4 Bi 3.10-3.17
Bi (0.0000, 0.2448, 0.8467)  2 In 3.10, 2 Tl 3.29-3.41, 1 Sr 3.46
Bi (0.5000, 0.2751, 0.3935)  2 In 3.15-3.17, 2 Sr 3.42, 2 Tl 3.47
Bi (0.0000, 0.7448, 0.1533)  2 In 3.10, 2 Tl 3.29-3.41, 1 Sr 3.46
Bi (0.5000, 0.7751, 0.6065)  2 In 3.15-3.17, 2 Sr 3.42, 2 Tl 3.47

---

First-principles (PBE) data for Sr3Tl4In2Bi2 after structural relaxation, as listed in the Alexandria database.

Summary:
magnetic moment = 0.00 μB per formula unit
density of states at the Fermi level = 8.3 states/eV per cell
energy of formation = -30.19 kJ per mole of atoms

Cell: 4.8767 4.8767 16.3272 Å, 98.59 98.59 90.00°
Closest atoms and distances in Å follow each position.
Fractional positions:
Sr (0.0000, 0.0000, 0.0000)  8 In 3.72
Sr (0.2017, 0.2017, 0.4034)  5 Bi 3.47, 4 Tl 3.81
Sr (0.7983, 0.7983, 0.5966)  5 Bi 3.47, 4 Tl 3.81
Tl (0.3900, 0.8900, 0.7799)  2 In 3.23, 4 Tl 3.45, 2 Bi 3.52
Tl (0.8900, 0.3900, 0.7799)  2 In 3.23, 4 Tl 3.45, 2 Bi 3.52
Tl (0.1100, 0.6100, 0.2201)  2 In 3.23, 4 Tl 3.45, 2 Bi 3.52
Tl (0.6100, 0.1100, 0.2201)  2 In 3.23, 4 Tl 3.45, 2 Bi 3.52
In (0.4563, 0.4563, 0.9127)  1 In 2.79
In (0.5437, 0.5437, 0.0873)  1 In 2.79
Bi (0.3104, 0.3104, 0.6207)  5 Sr 3.47, 4 Tl 3.52
Bi (0.6896, 0.6896, 0.3793)  5 Sr 3.47, 4 Tl 3.52

---

First-principles (PBE) data for Sr2InBiW after structural relaxation, as listed in the Alexandria database.

Summary:
magnetic moment = 3.65 μB per formula unit
density of states at the Fermi level = 3.8 states/eV per cell
energy of formation = 71.06 kJ per mole of atoms

Cell: 5.9613 5.3397 5.9613 Å, 90.00 90.00 90.00°
Closest atoms and distances in Å follow each position.
Fractional positions:
Sr (0.0000, 0.0000, 0.5000)  2 W 2.98
Sr (0.5000, 0.0000, 0.0000)  2 W 2.98
Bi (0.5000, 0.5000, 0.5000)  8 Sr 4.00, 4 In 4.22
W (0.0000, 0.0000, 0.0000)  2 In 2.67, 4 Sr 2.98
In (0.0000, 0.5000, 0.0000)  2 W 2.67

---

First-principles (PBE) data for TaIn3Bi after structural relaxation, as listed in the Alexandria database.

Summary:
magnetic moment = 0.00 μB per formula unit
density of states at the Fermi level = 3.9 states/eV per cell
energy of formation = 71.75 kJ per mole of atoms
energy relative to the lowest polymorph listed for this composition = 0.000 eV per atom

Cell: 5.4424 5.4424 5.4424 Å, 90.00 90.00 90.00°
Closest atoms and distances in Å follow each position.
Fractional positions:
In (0.0000, 0.5000, 0.0000)  2 Ta 2.72
In (0.0000, 0.0000, 0.5000)  2 Ta 2.72
In (0.5000, 0.0000, 0.0000)  2 Ta 2.72
Bi (0.5000, 0.5000, 0.5000)  12 In 3.85
Ta (0.0000, 0.0000, 0.0000)  6 In 2.72

---

First-principles (PBE) data for TaInBi2 after structural relaxation, as listed in the Alexandria database.

Summary:
magnetic moment = 0.00 μB per formula unit
density of states at the Fermi level = 3.1 states/eV per cell
energy of formation = 70.74 kJ per mole of atoms

Cell: 6.8956 6.8956 8.2260 Å, 65.22 65.22 90.00°
Closest atoms and distances in Å follow each position.
Fractional positions:
In (0.5000, 0.5000, 0.0000)  4 Bi 3.16
In (0.2500, 0.7500, 0.5000)  4 Bi 3.16
Bi (0.6754, 0.1250, 0.2500)  2 Ta 2.76
Bi (0.0746, 0.6250, 0.2500)  2 Ta 2.76
Bi (0.3750, 0.3246, 0.7500)  2 Ta 2.76
Bi (0.8750, 0.9254, 0.7500)  2 Ta 2.76
Ta (0.0000, 0.0000, 0.0000)  4 Bi 2.76
Ta (0.7500, 0.2500, 0.5000)  4 Bi 2.76

---

First-principles (PBE) data for Ta2In2Bi after structural relaxation, as listed in the Alexandria database.

Summary:
magnetic moment = 0.00 μB per formula unit
density of states at the Fermi level = 6.9 states/eV per cell
energy of formation = 43.51 kJ per mole of atoms
energy relative to the lowest polymorph listed for this composition = 0.000 eV per atom

Cell: 8.7929 8.7929 3.0208 Å, 90.00 90.00 90.00°
Closest atoms and distances in Å follow each position.
Fractional positions:
In (0.3204, 0.8204, 0.0000)  2 In 3.02, 6 Ta 3.02, 2 Bi 3.23
In (0.8204, 0.6796, 0.0000)  2 In 3.02, 6 Ta 3.02, 2 Bi 3.23
In (0.6796, 0.1796, 0.0000)  2 In 3.02, 6 Ta 3.02, 2 Bi 3.23
In (0.1796, 0.3204, 0.0000)  2 In 3.02, 6 Ta 3.02, 2 Bi 3.23
Bi (0.0000, 0.0000, 0.0000)  2 Bi 3.02, 4 In 3.23
Bi (0.5000, 0.5000, 0.0000)  2 Bi 3.02, 4 In 3.23
Ta (0.1099, 0.6099, 0.5000)  3 Ta 2.73-3.02, 6 In 3.02
Ta (0.6099, 0.8901, 0.5000)  3 Ta 2.73-3.02, 6 In 3.02
Ta (0.8901, 0.3901, 0.5000)  3 Ta 2.73-3.02, 6 In 3.02
Ta (0.3901, 0.1099, 0.5000)  3 Ta 2.73-3.02, 6 In 3.02

---

no.,electronic total energy (Ry per atom)
1,-0.2405
2,-0.2447
3,-0.2282
4,-0.2507
5,-0.2768
6,-0.2193
7,-0.2283
8,-0.2084
9,-0.2830
10,-0.2974
11,-0.3568
12,-0.4529